# CoNi3Hg (PBEsol, optimized geometry)
data_CoNi3Hg
_chemical_formula_sum 'Co1 Ni3 Hg1'
_cell_length_a 4.599
_cell_length_b 4.599
_cell_length_c 4.599
_cell_angle_alpha 90.00
_cell_angle_beta 90.00
_cell_angle_gamma 90.00
_symmetry_space_group_name_H-M 'P m -3 m'
_symmetry_Int_Tables_number 221
_symmetry_space_group_name_Hall '-P 4 2 3'
loop_
_atom_site_label
_atom_site_type_symbol
_atom_site_fract_x
_atom_site_fract_y
_atom_site_fract_z
Co1 Co 0.000 0.000 0.000
Ni1 Ni 0.000 0.500 0.500
Hg1 Hg 0.500 0.500 0.500
# Uncorrected energy: -3.437 eV/atom
# Formation energy: 1.92 eV per atom
# Magnetization: 0.71 μB/atom

# CoNiHg2Os (PBEsol, optimized geometry)
data_CoNiHg2Os
_chemical_formula_sum 'Co1 Ni1 Hg2 Os1'
_cell_length_a 4.698
_cell_length_b 4.698
_cell_length_c 4.401
_cell_angle_alpha 90.00
_cell_angle_beta 90.00
_cell_angle_gamma 90.00
_symmetry_space_group_name_H-M 'P 4/m m m'
_symmetry_Int_Tables_number 123
_symmetry_space_group_name_Hall '-P 4 2'
loop_
_atom_site_label
_atom_site_type_symbol
_atom_site_fract_x
_atom_site_fract_y
_atom_site_fract_z
Co1 Co 0.000 0.000 0.000
Ni1 Ni 0.500 0.500 0.500
Hg1 Hg 0.000 0.500 0.500
Os1 Os 0.500 0.500 0.000
# Uncorrected energy: -3.898 eV/atom
# Formation energy: 1.55 eV per atom
# Magnetization: 0.43 μB/atom

# Co3HgO (PBEsol, optimized geometry)
data_Co3HgO
_chemical_formula_sum 'Co3 Hg1 O1'
_cell_length_a 3.839
_cell_length_b 3.839
_cell_length_c 3.839
_cell_angle_alpha 90.00
_cell_angle_beta 90.00
_cell_angle_gamma 90.00
_symmetry_space_group_name_H-M 'P m -3 m'
_symmetry_Int_Tables_number 221
_symmetry_space_group_name_Hall '-P 4 2 3'
loop_
_atom_site_label
_atom_site_type_symbol
_atom_site_fract_x
_atom_site_fract_y
_atom_site_fract_z
Co1 Co 0.000 0.000 0.500
Hg1 Hg 0.500 0.500 0.500
O1 O 0.000 0.000 0.000
# Uncorrected energy: -5.836 eV/atom
# Magnetization: 0.61 μB/atom
# Formation energy from raw total energies: -0.03 eV/atom

# Co2HgO (PBEsol, optimized geometry)
data_Co2HgO
_chemical_formula_sum 'Co8 Hg4 O4'
_cell_length_a 4.595
_cell_length_b 4.595
_cell_length_c 11.026
_cell_angle_alpha 90.00
_cell_angle_beta 90.00
_cell_angle_gamma 90.00
_symmetry_space_group_name_H-M 'I 41/a m d'
_symmetry_Int_Tables_number 141
loop_
_symmetry_equiv_pos_as_xyz
'x,y,z'
'-x,-y,-z'
'-y+1/4,x+3/4,z+1/4'
'y+1/4,-x+3/4,-z+1/4'
'-x+1/2,-y,z+1/2'
'x+1/2,y,-z+1/2'
'y+1/4,-x+1/4,z+3/4'
'-y+1/4,x+1/4,-z+3/4'
'x,-y,-z'
'-x,y,z'
'-y+1/4,-x+1/4,-z+3/4'
'y+1/4,x+1/4,z+3/4'
'-x+1/2,y,-z+1/2'
'x+1/2,-y,z+1/2'
'y+1/4,x+3/4,-z+1/4'
'-y+1/4,-x+3/4,z+1/4'
'x+1/2,y+1/2,z+1/2'
'-x+1/2,-y+1/2,-z+1/2'
'-y+3/4,x+1/4,z+3/4'
'y+3/4,-x+1/4,-z+3/4'
'-x,-y+1/2,z'
'x,y+1/2,-z'
'y+3/4,-x+3/4,z+1/4'
'-y+3/4,x+3/4,-z+1/4'
'x+1/2,-y+1/2,-z+1/2'
'-x+1/2,y+1/2,z+1/2'
'-y+3/4,-x+3/4,-z+1/4'
'y+3/4,x+3/4,z+1/4'
'-x,y+1/2,-z'
'x,-y+1/2,z'
'y+3/4,x+1/4,-z+3/4'
'-y+3/4,-x+1/4,z+3/4'
loop_
_atom_site_label
_atom_site_type_symbol
_atom_site_fract_x
_atom_site_fract_y
_atom_site_fract_z
Co1 Co 0.000 0.000 0.000
Hg1 Hg 0.000 0.250 0.375
O1 O 0.000 0.250 0.875
# Uncorrected energy: -5.379 eV/atom
# Magnetization: 0.58 μB/atom
# Formation energy from raw total energies: -0.06 eV/atom

# CoHgO2 (PBEsol, optimized geometry)
data_CoHgO2
_chemical_formula_sum 'Co4 Hg4 O8'
_cell_length_a 5.083
_cell_length_b 5.083
_cell_length_c 8.662
_cell_angle_alpha 90.00
_cell_angle_beta 90.00
_cell_angle_gamma 90.00
_symmetry_space_group_name_H-M 'I -4 2 d'
_symmetry_Int_Tables_number 122
_symmetry_space_group_name_Hall 'I -4 2bw'
loop_
_atom_site_label
_atom_site_type_symbol
_atom_site_fract_x
_atom_site_fract_y
_atom_site_fract_z
Co1 Co 0.000 0.000 0.000
Hg1 Hg 0.000 0.000 0.500
O1 O 0.170 0.250 0.125
# Uncorrected energy: -5.105 eV/atom
# Magnetization: 0.76 μB/atom
# Formation energy from raw total energies: -0.40 eV/atom

# CoHgOs2 (PBEsol, optimized geometry)
data_CoHgOs2
_chemical_formula_sum 'Co2 Hg2 Os4'
_cell_length_a 8.879
_cell_length_b 2.766
_cell_length_c 4.826
_cell_angle_alpha 90.00
_cell_angle_beta 99.92
_cell_angle_gamma 90.00
_symmetry_space_group_name_H-M 'C 1 m 1'
_symmetry_Int_Tables_number 8
_symmetry_space_group_name_Hall 'C -2y'
loop_
_atom_site_label
_atom_site_type_symbol
_atom_site_fract_x
_atom_site_fract_y
_atom_site_fract_z
Co1 Co 0.000 0.000 0.000
Hg1 Hg 0.244 0.000 0.754
Os1 Os 0.238 0.500 0.250
Os2 Os 0.483 0.000 0.432
# Uncorrected energy: -7.570 eV/atom
# Formation energy: 0.61 eV per atom
# Magnetization: 0.34 μB/atom

# CoHgOs2 (PBEsol, optimized geometry)
data_CoHgOs2
_chemical_formula_sum 'Co2 Hg2 Os4'
_cell_length_a 10.716
_cell_length_b 2.704
_cell_length_c 4.389
_cell_angle_alpha 90.00
_cell_angle_beta 114.05
_cell_angle_gamma 90.00
_symmetry_space_group_name_H-M 'C 1 2/m 1'
_symmetry_Int_Tables_number 12
_symmetry_space_group_name_Hall '-C 2y'
loop_
_atom_site_label
_atom_site_type_symbol
_atom_site_fract_x
_atom_site_fract_y
_atom_site_fract_z
Co1 Co 0.000 0.000 0.000
Hg1 Hg 0.000 0.500 0.500
Os1 Os 0.214 0.500 0.214
# Uncorrected energy: -7.636 eV/atom
# Formation energy: 0.55 eV per atom
# Magnetization: 0.00 μB/atom

# CoHgOs3 (PBEsol, optimized geometry)
data_CoHgOs3
_chemical_formula_sum 'Co1 Hg1 Os3'
_cell_length_a 4.809
_cell_length_b 4.809
_cell_length_c 4.809
_cell_angle_alpha 90.00
_cell_angle_beta 90.00
_cell_angle_gamma 90.00
_symmetry_space_group_name_H-M 'P m -3 m'
_symmetry_Int_Tables_number 221
_symmetry_space_group_name_Hall '-P 4 2 3'
loop_
_atom_site_label
_atom_site_type_symbol
_atom_site_fract_x
_atom_site_fract_y
_atom_site_fract_z
Co1 Co 0.000 0.000 0.000
Hg1 Hg 0.500 0.500 0.500
Os1 Os 0.000 0.500 0.500
# Uncorrected energy: -5.212 eV/atom
# Formation energy: 3.78 eV per atom
# Magnetization: 1.25 μB/atom

# CoHgOs2 (PBEsol, optimized geometry)
data_CoHgOs2
_chemical_formula_sum 'Co1 Hg1 Os2'
_cell_length_a 2.873
_cell_length_b 2.873
_cell_length_c 6.995
_cell_angle_alpha 90.00
_cell_angle_beta 90.00
_cell_angle_gamma 90.00
_symmetry_space_group_name_H-M 'P 4/m m m'
_symmetry_Int_Tables_number 123
_symmetry_space_group_name_Hall '-P 4 2'
loop_
_atom_site_label
_atom_site_type_symbol
_atom_site_fract_x
_atom_site_fract_y
_atom_site_fract_z
Co1 Co 0.000 0.000 0.000
Hg1 Hg 0.000 0.000 0.500
Os1 Os 0.500 0.500 0.197
# Uncorrected energy: -7.555 eV/atom
# Formation energy: 0.63 eV per atom
# Magnetization: 0.14 μB/atom

# CoHgOs2 (PBEsol, optimized geometry)
data_CoHgOs2
_chemical_formula_sum 'Co1 Hg1 Os2'
_cell_length_a 2.787
_cell_length_b 4.539
_cell_length_c 4.655
_cell_angle_alpha 90.00
_cell_angle_beta 90.00
_cell_angle_gamma 90.00
_symmetry_space_group_name_H-M 'P m m m'
_symmetry_Int_Tables_number 47
_symmetry_space_group_name_Hall '-P 2 2'
loop_
_atom_site_label
_atom_site_type_symbol
_atom_site_fract_x
_atom_site_fract_y
_atom_site_fract_z
Co1 Co 0.000 0.000 0.000
Hg1 Hg 0.500 0.500 0.000
Os1 Os 0.000 0.500 0.500
Os2 Os 0.500 0.000 0.500
# Uncorrected energy: -7.340 eV/atom
# Formation energy: 0.84 eV per atom
# Magnetization: 0.53 μB/atom

# Co2HgP (PBEsol, optimized geometry)
data_Co2HgP
_chemical_formula_sum 'Co4 Hg2 P2'
_cell_length_a 2.777
_cell_length_b 3.100
_cell_length_c 12.735
_cell_angle_alpha 90.00
_cell_angle_beta 90.00
_cell_angle_gamma 90.00
_symmetry_space_group_name_H-M 'I m m 2'
_symmetry_Int_Tables_number 44
_symmetry_space_group_name_Hall 'I 2 -2'
loop_
_atom_site_label
_atom_site_type_symbol
_atom_site_fract_x
_atom_site_fract_y
_atom_site_fract_z
Co1 Co 0.000 0.000 0.000
Co2 Co 0.000 0.500 0.327
Hg1 Hg 0.000 0.000 0.643
P1 P 0.000 0.500 0.887
# Uncorrected energy: -5.576 eV/atom
# Formation energy: -0.12 eV per atom
# Magnetization: 0.00 μB/atom

# CoHg2P (PBEsol, optimized geometry)
data_CoHg2P
_chemical_formula_sum 'Co2 Hg4 P2'
_cell_length_a 3.942
_cell_length_b 3.942
_cell_length_c 8.565
_cell_angle_alpha 90.00
_cell_angle_beta 90.00
_cell_angle_gamma 90.00
_symmetry_space_group_name_H-M 'I 4/m m m'
_symmetry_Int_Tables_number 139
_symmetry_space_group_name_Hall '-I 4 2'
loop_
_atom_site_label
_atom_site_type_symbol
_atom_site_fract_x
_atom_site_fract_y
_atom_site_fract_z
Co1 Co 0.000 0.000 0.000
Hg1 Hg 0.000 0.500 0.250
P1 P 0.000 0.000 0.500
# Uncorrected energy: -3.088 eV/atom
# Formation energy: 0.58 eV per atom
# Magnetization: 0.31 μB/atom